Compound: SrLaS2
Source: Alexandria via LeMat-Bulk
Functional: meta-GGA SCAN
Structure: single point on PBEsol structure

Values from the calculation:
**ρ**: 5.423 g/cm³
**Raw total energy**: -92.70 eV/cell
**Energy relative to the elements, uncorrected**: -2.015 eV per atom
**Space group**: Fm-3m (225)

Cell lengths 5.0115, 5.0115, 5.0115 Å; angles 60.00, 60.00, 60.00 degrees
Atoms (fractional coordinates):
S  0.2500  0.2500  0.2500
S  0.7500  0.7500  0.7500
Sr  0.0000  0.0000  0.0000
La  0.5000  0.5000  0.5000

***

Compound: LaTeS2
Source: Alexandria via LeMat-Bulk
Functional: meta-GGA SCAN
Structure: single point on PBEsol structure

Values from the calculation:
**ρ**: 4.347 g/cm³
**Raw total energy**: -104.78 eV/cell
**Energy relative to the elements, uncorrected**: -1.291 eV per atom
**Space group**: R-3m (166)

Cell lengths 4.2373, 4.2373, 8.4833 Å; angles 75.54, 75.54, 60.00 degrees
Atoms (fractional coordinates):
La  0.5000  0.5000  0.5000
S  0.1074  0.1074  0.6777
S  0.8926  0.8926  0.3223
Te  0.0000  0.0000  0.0000

***

Compound: LaTmS3
Source: Alexandria via LeMat-Bulk
Functional: meta-GGA SCAN
Structure: single point on PBEsol structure

Values from the calculation:
**ρ**: 5.979 g/cm³
**Raw total energy**: -1088.51 eV/cell
**Offset from the most stable computed form**: 7 meV/atom
**Energy relative to the elements, uncorrected**: -2.448 eV per atom
**Space group**: P2_1/m (11)

Cell lengths 3.9514, 10.8832, 21.3084 Å; angles 101.58, 90.00, 90.00 degrees
Atoms (fractional coordinates):
S  0.2500  0.2526  0.8278
S  0.2500  0.9651  0.2702
S  0.7500  0.4561  0.6350
S  0.7500  0.6436  0.5148
S  0.2500  0.5074  0.7808
S  0.7500  0.9421  0.5569
S  0.2500  0.0579  0.4431
S  0.2500  0.3564  0.4852
S  0.2500  0.6368  0.0353
S  0.7500  0.6564  0.9014
S  0.2500  0.7471  0.6746
S  0.2500  0.2073  0.6354
S  0.7500  0.0349  0.7298
S  0.2500  0.3436  0.0986
S  0.2500  0.0861  0.9655
S  0.7500  0.1245  0.1631
S  0.2500  0.5439  0.3650
S  0.7500  0.4926  0.2192
S  0.2500  0.8755  0.8369
S  0.7500  0.2529  0.3254
S  0.7500  0.7927  0.3646
S  0.7500  0.9139  0.0345
S  0.7500  0.3632  0.9647
S  0.7500  0.7474  0.1722
Tm  0.7500  0.1812  0.0472
Tm  0.7500  0.5218  0.0871
Tm  0.2500  0.9725  0.6495
Tm  0.7500  0.4474  0.4171
Tm  0.2500  0.8188  0.9528
Tm  0.2500  0.5526  0.5829
Tm  0.2500  0.4782  0.9129
Tm  0.7500  0.0275  0.3505
La  0.7500  0.0918  0.8661
La  0.2500  0.7989  0.4637
La  0.2500  0.3012  0.2351
La  0.2500  0.9082  0.1339
La  0.7500  0.2011  0.5363
La  0.2500  0.6909  0.2655
La  0.7500  0.6988  0.7649
La  0.7500  0.3091  0.7345

***

Compound: LaTmS3
Source: Alexandria via LeMat-Bulk
Functional: meta-GGA SCAN
Structure: single point on PBEsol structure

Values from the calculation:
**ρ**: 5.955 g/cm³
**Raw total energy**: -1633.17 eV/cell
**Offset from the most stable computed form**: 0 meV/atom
**Energy relative to the elements, uncorrected**: -2.455 eV per atom
**Space group**: Pnma (62)

Cell lengths 3.9468, 16.2311, 21.1030 Å; angles 90.00, 90.00, 90.00 degrees
Atoms (fractional coordinates):
S  0.2500  0.5427  0.9474
S  0.2500  0.4408  0.4412
S  0.7500  0.3412  0.5622
S  0.7500  0.5592  0.5588
S  0.2500  0.4654  0.1827
S  0.7500  0.5346  0.8173
S  0.7500  0.5500  0.3073
S  0.2500  0.1588  0.0622
S  0.2500  0.2320  0.6787
S  0.2500  0.6588  0.4378
S  0.2500  0.3542  0.8521
S  0.7500  0.1458  0.3521
S  0.7500  0.9573  0.4474
S  0.7500  0.2908  0.9841
S  0.7500  0.7908  0.5159
S  0.7500  0.6771  0.6845
S  0.2500  0.9500  0.8073
S  0.7500  0.7680  0.3213
S  0.7500  0.6458  0.1479
S  0.7500  0.0592  0.9412
S  0.7500  0.2680  0.1787
S  0.7500  0.4573  0.0526
S  0.2500  0.8542  0.6479
S  0.2500  0.9654  0.3173
S  0.7500  0.8412  0.9378
S  0.2500  0.9408  0.0588
S  0.2500  0.2092  0.4841
S  0.2500  0.3229  0.3155
S  0.2500  0.8229  0.1845
S  0.7500  0.1771  0.8155
S  0.7500  0.0500  0.1927
S  0.2500  0.7092  0.0159
S  0.2500  0.0427  0.5526
S  0.2500  0.7320  0.8213
S  0.2500  0.4500  0.6927
S  0.7500  0.0346  0.6827
La  0.2500  0.3303  0.0876
La  0.7500  0.3428  0.7463
La  0.2500  0.6934  0.5789
La  0.7500  0.3066  0.4211
La  0.7500  0.1697  0.5876
La  0.7500  0.8066  0.0789
La  0.2500  0.6572  0.2537
La  0.7500  0.8428  0.7537
La  0.7500  0.6697  0.9124
La  0.2500  0.1934  0.9211
La  0.2500  0.1572  0.2463
La  0.2500  0.8303  0.4124
Tm  0.2500  0.5961  0.7501
Tm  0.2500  0.0666  0.4212
Tm  0.2500  0.5666  0.0788
Tm  0.7500  0.5566  0.4314
Tm  0.7500  0.0566  0.0686
Tm  0.2500  0.9434  0.9314
Tm  0.7500  0.9039  0.2501
Tm  0.2500  0.0961  0.7499
Tm  0.7500  0.4334  0.9212
Tm  0.7500  0.9334  0.5788
Tm  0.2500  0.4434  0.5686
Tm  0.7500  0.4039  0.2499

***

Compound: La4Tm11S22
Source: Alexandria via LeMat-Bulk
Functional: meta-GGA SCAN
Structure: single point on PBEsol structure

Values from the calculation:
**ρ**: 6.186 g/cm³
**Raw total energy**: -1044.07 eV/cell
**Energy relative to the elements, uncorrected**: -2.424 eV per atom
**Space group**: C2/m (12)

Cell lengths 3.8952, 11.1860, 19.3216 Å; angles 91.55, 95.79, 90.00 degrees
Atoms (fractional coordinates):
S  0.3491  0.0930  0.6982
S  0.8305  0.8494  0.6610
S  0.0868  0.7538  0.1736
S  0.7457  0.8808  0.4915
S  0.1695  0.1506  0.3390
S  0.2543  0.1192  0.5085
S  0.6509  0.9070  0.3018
S  0.8100  0.3098  0.6199
S  0.5574  0.5097  0.1148
S  0.9914  0.7604  0.9828
S  0.1359  0.4498  0.2719
S  0.4074  0.7866  0.8147
S  0.0086  0.2396  0.0172
S  0.5926  0.2134  0.1853
S  0.5465  0.9706  0.0929
S  0.8641  0.5502  0.7281
S  0.2806  0.5879  0.5612
S  0.7194  0.4121  0.4388
S  0.9132  0.2462  0.8264
S  0.1900  0.6902  0.3801
S  0.4426  0.4903  0.8852
S  0.4535  0.0294  0.9071
Tm  0.9295  0.6388  0.8590
Tm  0.7973  0.0599  0.5946
Tm  0.6579  0.2989  0.3159
Tm  0.2027  0.9401  0.4054
Tm  0.5378  0.7316  0.0755
Tm  0.4622  0.2684  0.9245
Tm  0.7371  0.6485  0.4742
Tm  0.2629  0.3515  0.5258
Tm  0.0000  0.0000  0.0000
Tm  0.3421  0.7011  0.6841
Tm  0.0705  0.3612  0.1410
La  0.3672  0.3508  0.7343
La  0.1044  0.0122  0.2089
La  0.6328  0.6492  0.2657
La  0.8956  0.9878  0.7911

***

Compound: LaTmS2
Source: Alexandria via LeMat-Bulk
Functional: meta-GGA SCAN
Structure: single point on PBEsol structure

Values from the calculation:
**ρ**: 7.122 g/cm³
**Raw total energy**: -123.40 eV/cell
**Energy relative to the elements, uncorrected**: -2.303 eV per atom
**Space group**: R-3m (166)

Cell lengths 3.8805, 3.8805, 7.0177 Å; angles 73.95, 73.95, 60.00 degrees
Atoms (fractional coordinates):
S  0.7588  0.7588  0.7236
S  0.2412  0.2412  0.2764
La  0.0000  0.0000  0.0000
Tm  0.5000  0.5000  0.5000

***

Compound: LaYWS2
Source: Alexandria via LeMat-Bulk
Functional: meta-GGA SCAN
Structure: single point on PBEsol structure

Values from the calculation:
**ρ**: 4.494 g/cm³
**Raw total energy**: -154.07 eV/cell
**Energy relative to the elements, uncorrected**: 1.164 eV per atom
**Space group**: P4/mmm (123)

Cell lengths 5.2289, 5.2289, 6.4291 Å; angles 90.00, 90.00, 90.00 degrees
Atoms (fractional coordinates):
S  0.0000  0.5000  0.0000
S  0.5000  0.0000  0.0000
W  0.5000  0.5000  0.5000
Y  0.0000  0.0000  0.5000
La  0.0000  0.0000  0.0000

***

Compound: LaY3S6
Source: Alexandria via LeMat-Bulk
Functional: meta-GGA SCAN
Structure: single point on PBEsol structure

Values from the calculation:
**ρ**: 4.287 g/cm³
**Raw total energy**: -417.93 eV/cell
**Energy relative to the elements, uncorrected**: -2.457 eV per atom
**Space group**: P2_1/m (11)

Cell lengths 3.9654, 10.9593, 11.2624 Å; angles 108.81, 90.00, 90.00 degrees
Atoms (fractional coordinates):
S  0.7500  0.4807  0.6119
S  0.2500  0.6071  0.9441
S  0.7500  0.1202  0.4632
S  0.2500  0.5193  0.3881
S  0.7500  0.9160  0.0935
S  0.2500  0.1962  0.2491
S  0.2500  0.0840  0.9065
S  0.7500  0.3929  0.0559
S  0.2500  0.2672  0.7290
S  0.2500  0.8798  0.5368
S  0.7500  0.7328  0.2710
S  0.7500  0.8038  0.7509
La  0.2500  0.9489  0.3047
La  0.7500  0.0511  0.6953
Y  0.2500  0.3205  0.4990
Y  0.7500  0.4442  0.8330
Y  0.7500  0.6795  0.5010
Y  0.2500  0.8397  0.9129
Y  0.2500  0.5558  0.1670
Y  0.7500  0.1603  0.0871

***

Compound: La2YZnS
Source: Alexandria via LeMat-Bulk
Functional: meta-GGA SCAN
Structure: single point on PBEsol structure

Values from the calculation:
**ρ**: 5.003 g/cm³
**Raw total energy**: -134.94 eV/cell
**Energy relative to the elements, uncorrected**: 0.451 eV per atom
**Space group**: P4/mmm (123)

Cell lengths 4.8262, 5.6498, 5.6498 Å; angles 90.00, 90.00, 90.00 degrees
Atoms (fractional coordinates):
Zn  0.5000  0.0000  0.0000
Y  0.0000  0.0000  0.0000
S  0.5000  0.5000  0.5000
La  0.0000  0.5000  0.0000
La  0.0000  0.0000  0.5000

***

Compound: La3ZnS
Source: Alexandria via LeMat-Bulk
Functional: meta-GGA SCAN
Structure: single point on PBEsol structure

Values from the calculation:
**ρ**: 5.096 g/cm³
**Raw total energy**: -153.10 eV/cell
**Energy relative to the elements, uncorrected**: -0.128 eV per atom
**Space group**: Pm-3m (221)

Cell lengths 5.5129, 5.5129, 5.5129 Å; angles 90.00, 90.00, 90.00 degrees
Atoms (fractional coordinates):
La  0.5000  0.0000  0.0000
La  0.0000  0.0000  0.5000
La  0.0000  0.5000  0.0000
S  0.5000  0.5000  0.5000
Zn  0.0000  0.0000  0.0000

***

Compound: La2ZrS5
Source: Alexandria via LeMat-Bulk
Functional: meta-GGA SCAN
Structure: single point on PBEsol structure

Values from the calculation:
**ρ**: 5.218 g/cm³
**Raw total energy**: -733.33 eV/cell
**Energy relative to the elements, uncorrected**: -2.285 eV per atom
**Space group**: Pnma (62)

Cell lengths 7.2967, 8.1819, 11.2879 Å; angles 90.00, 90.00, 90.00 degrees
Atoms (fractional coordinates):
Zr  0.0737  0.2500  0.5114
Zr  0.9263  0.7500  0.4886
Zr  0.5737  0.7500  0.9886
Zr  0.4263  0.2500  0.0114
S  0.3191  0.5362  0.0708
S  0.3434  0.2500  0.7902
S  0.6566  0.7500  0.2098
S  0.6809  0.0362  0.9292
S  0.0576  0.2500  0.0044
S  0.1382  0.7500  0.3045
S  0.3618  0.7500  0.8045
S  0.9424  0.7500  0.9956
S  0.8191  0.0362  0.4292
S  0.1566  0.2500  0.2902
S  0.4424  0.2500  0.5044
S  0.1809  0.9638  0.5708
S  0.8434  0.7500  0.7098
S  0.1809  0.5362  0.5708
S  0.5576  0.7500  0.4956
S  0.8191  0.4638  0.4292
S  0.8618  0.2500  0.6955
S  0.3191  0.9638  0.0708
S  0.6809  0.4638  0.9292
S  0.6382  0.2500  0.1955
La  0.4363  0.9980  0.3295
La  0.5637  0.0020  0.6705
La  0.5637  0.4980  0.6705
La  0.4363  0.5020  0.3295
La  0.0637  0.5020  0.8295
La  0.9363  0.4980  0.1705
La  0.9363  0.0020  0.1705
La  0.0637  0.9980  0.8295

***

Compound: La3Sb
Source: Alexandria via LeMat-Bulk
Functional: meta-GGA SCAN
Structure: single point on PBEsol structure

Values from the calculation:
**ρ**: 7.566 g/cm³
**Raw total energy**: -676.91 eV/cell
**Offset from the most stable computed form**: 23 meV/atom
**Energy relative to the elements, uncorrected**: -0.663 eV per atom
**Space group**: P6_3/mmc (194)

Cell lengths 6.9344, 6.9344, 11.3525 Å; angles 90.00, 90.00, 120.00 degrees
Atoms (fractional coordinates):
Sb  0.3333  0.6667  0.2500
Sb  0.0000  0.0000  0.5000
Sb  0.6667  0.3333  0.7500
Sb  0.0000  0.0000  0.0000
La  0.8410  0.6819  0.2500
La  0.5000  0.0000  0.5000
La  0.3181  0.1590  0.2500
La  0.5000  0.5000  0.0000
La  0.5000  0.5000  0.5000
La  0.0000  0.5000  0.5000
La  0.1590  0.3181  0.7500
La  0.8410  0.1590  0.2500
La  0.1590  0.8410  0.7500
La  0.5000  0.0000  0.0000
La  0.0000  0.5000  0.0000
La  0.6819  0.8410  0.7500

***

Compound: La3Sb
Source: Alexandria via LeMat-Bulk
Functional: meta-GGA SCAN
Structure: single point on PBEsol structure

Values from the calculation:
**ρ**: 7.176 g/cm³
**Raw total energy**: -169.12 eV/cell
**Offset from the most stable computed form**: 49 meV/atom
**Energy relative to the elements, uncorrected**: -0.637 eV per atom
**Space group**: P4/mmm (123)

Cell lengths 4.1653, 4.1653, 7.1822 Å; angles 90.00, 90.00, 90.00 degrees
Atoms (fractional coordinates):
La  0.0000  0.0000  0.7859
La  0.0000  0.0000  0.2141
La  0.5000  0.5000  0.5000
Sb  0.5000  0.5000  0.0000

***

Compound: La5Sb3
Source: Alexandria via LeMat-Bulk
Functional: meta-GGA SCAN
Structure: single point on PBEsol structure

Values from the calculation:
**ρ**: 6.982 g/cm³
**Raw total energy**: -672.53 eV/cell
**Energy relative to the elements, uncorrected**: -1.120 eV per atom
**Space group**: P6_3/mcm (193)

Cell lengths 6.5263, 9.4440, 9.4440 Å; angles 120.00, 90.00, 90.00 degrees
Atoms (fractional coordinates):
Sb  0.7500  0.6161  0.6161
Sb  0.2500  0.3839  0.3839
Sb  0.7500  0.3839  0.0000
Sb  0.2500  0.0000  0.6161
Sb  0.2500  0.6161  0.0000
Sb  0.7500  0.0000  0.3839
La  0.0000  0.3333  0.6667
La  0.2500  0.7436  0.7436
La  0.7500  0.2564  0.2564
La  0.2500  0.2564  0.0000
La  0.5000  0.3333  0.6667
La  0.0000  0.6667  0.3333
La  0.7500  0.7436  0.0000
La  0.5000  0.6667  0.3333
La  0.2500  0.0000  0.2564
La  0.7500  0.0000  0.7436

***

Compound: La7Sb
Source: Alexandria via LeMat-Bulk
Functional: meta-GGA SCAN
Structure: single point on PBEsol structure

Values from the calculation:
**ρ**: 7.333 g/cm³
**Raw total energy**: -341.44 eV/cell
**Energy relative to the elements, uncorrected**: -0.305 eV per atom
**Space group**: Fm-3m (225)

Cell lengths 7.0497, 7.0497, 7.0497 Å; angles 60.00, 60.00, 60.00 degrees
Atoms (fractional coordinates):
La  0.5000  0.0000  0.5000
La  0.5000  0.5000  0.0000
La  0.0000  0.0000  0.5000
La  0.5000  0.5000  0.5000
La  0.0000  0.5000  0.5000
La  0.5000  0.0000  0.0000
La  0.0000  0.5000  0.0000
Sb  0.0000  0.0000  0.0000

***

Compound: La3Sb
Source: Alexandria via LeMat-Bulk
Functional: meta-GGA SCAN
Structure: single point on PBEsol structure

Values from the calculation:
**ρ**: 7.493 g/cm³
**Raw total energy**: -168.21 eV/cell
**Offset from the most stable computed form**: 278 meV/atom
**Energy relative to the elements, uncorrected**: -0.408 eV per atom
**Space group**: Fm-3m (225)

Cell lengths 5.5262, 5.5262, 5.5262 Å; angles 60.00, 60.00, 60.00 degrees
Atoms (fractional coordinates):
La  0.5000  0.5000  0.5000
La  0.2500  0.2500  0.2500
La  0.7500  0.7500  0.7500
Sb  0.0000  0.0000  0.0000

***

Compound: La3Sb
Source: Alexandria via LeMat-Bulk
Functional: meta-GGA SCAN
Structure: single point on PBEsol structure

Values from the calculation:
**ρ**: 7.577 g/cm³
**Raw total energy**: -169.32 eV/cell
**Offset from the most stable computed form**: 0 meV/atom
**Energy relative to the elements, uncorrected**: -0.686 eV per atom
**Space group**: Pm-3m (221)

Cell lengths 4.9050, 4.9050, 4.9050 Å; angles 90.00, 90.00, 90.00 degrees
Atoms (fractional coordinates):
La  0.5000  0.0000  0.5000
La  0.5000  0.5000  0.0000
La  0.0000  0.5000  0.5000
Sb  0.0000  0.0000  0.0000

***

Compound: La3Sb
Source: Alexandria via LeMat-Bulk
Functional: meta-GGA SCAN
Structure: single point on PBEsol structure

Values from the calculation:
**ρ**: 7.558 g/cm³
**Raw total energy**: -338.35 eV/cell
**Offset from the most stable computed form**: 37 meV/atom
**Energy relative to the elements, uncorrected**: -0.649 eV per atom
**Space group**: I4/mmm (139)

Cell lengths 4.8689, 4.8689, 10.5577 Å; angles 103.33, 103.33, 90.00 degrees
Atoms (fractional coordinates):
La  0.1246  0.1246  0.2491
La  0.8754  0.8754  0.7509
La  0.7500  0.2500  0.5000
La  0.2500  0.7500  0.5000
La  0.0000  0.5000  0.0000
La  0.5000  0.0000  0.0000
Sb  0.3757  0.3757  0.7513
Sb  0.6243  0.6243  0.2487